{
  "formula": "TbI",
  "functional": "PBE",
  "state": "relaxed",
  "lattice_angstrom": [[0.0000, 3.0945, 3.0945], [3.0945, 0.0000, 3.0945], [3.0945, 3.0945, 0.0000]],
  "species": ["Tb", "I"],
  "fractional_positions": [[0.0000, 0.0000, 0.0000], [0.5000, 0.5000, 0.5000]],
  "e_tot_ev_per_atom": -3.513,
  "space_group": "No. 225",
  "m_tot_mub_per_fu": 0.0
}